1.
# NaAgTe5O14, relaxed, DFT PBE-GGA
# Crystal system: monoclinic
data_NaAgTe5O14
_chemical_formula_sum 'Na4 Ag4 Te20 O56'
_symmetry_space_group_name_H-M 'P 1 21/c 1'
_symmetry_Int_Tables_number 14
_cell_length_a 6.820
_cell_length_b 25.034
_cell_length_c 7.465
_cell_angle_alpha 90.00
_cell_angle_beta 111.56
_cell_angle_gamma 90.00
loop_
_symmetry_equiv_pos_as_xyz
'x,y,z'
'-x,-y,-z'
'-x,y+1/2,-z+1/2'
'x,-y+1/2,z+1/2'
loop_
_atom_site_label
_atom_site_fract_x
_atom_site_fract_y
_atom_site_fract_z
Na1 0.051 0.126 0.264
Ag1 0.476 0.565 0.851
Te1 0.000 0.000 0.000
Te2 0.000 0.000 0.500
Te3 0.069 0.125 0.774
Te4 0.138 0.249 0.053
Te5 0.394 0.689 0.105
Te6 0.471 0.571 0.327
O1 0.031 0.526 0.262
O2 0.040 0.575 0.578
O3 0.076 0.076 0.570
O4 0.085 0.174 0.986
O5 0.137 0.223 0.304
O6 0.169 0.743 0.045
O7 0.181 0.176 0.631
O8 0.220 0.644 0.859
O9 0.289 0.645 0.262
O10 0.292 0.517 0.061
O11 0.306 0.007 0.113
O12 0.357 0.103 0.910
O13 0.399 0.105 0.327
O14 0.434 0.238 0.138

2.
# CrReC2, relaxed, DFT PBE-GGA
# Energy above the most stable polymorph in this dataset (meV/atom): 0
# Crystal system: tetragonal
data_CrReC2
_chemical_formula_sum 'Cr4 Re4 C8'
_symmetry_space_group_name_H-M 'I -4 2 d'
_symmetry_Int_Tables_number 122
_symmetry_space_group_name_Hall 'I -4 2bw'
_cell_length_a 4.521
_cell_length_b 4.521
_cell_length_c 9.049
_cell_angle_alpha 90.00
_cell_angle_beta 90.00
_cell_angle_gamma 90.00
loop_
_atom_site_label
_atom_site_fract_x
_atom_site_fract_y
_atom_site_fract_z
Cr1 0.000 0.000 0.000
Re1 0.000 0.000 0.500
C1 0.237 0.250 0.125

3.
# LuZrCd, relaxed, DFT PBE-GGA
# Crystal system: tetragonal
data_LuZrCd
_chemical_formula_sum 'Lu2 Zr2 Cd2'
_symmetry_space_group_name_H-M 'I 4 m m'
_symmetry_Int_Tables_number 107
_symmetry_space_group_name_Hall 'I 4 -2'
_cell_length_a 3.353
_cell_length_b 3.353
_cell_length_c 12.944
_cell_angle_alpha 90.00
_cell_angle_beta 90.00
_cell_angle_gamma 90.00
loop_
_atom_site_label
_atom_site_fract_x
_atom_site_fract_y
_atom_site_fract_z
Lu1 0.000 0.000 0.000
Zr1 0.000 0.000 0.669
Cd1 0.000 0.000 0.328

4.
# SmLuBr2, relaxed, DFT PBE-GGA
# Crystal system: trigonal
data_SmLuBr2
_chemical_formula_sum 'Sm3 Lu3 Br6'
_symmetry_space_group_name_H-M 'R -3 m'
_symmetry_Int_Tables_number 166
_symmetry_space_group_name_Hall '-R 3 2"'
_cell_length_a 3.6834
_cell_length_b 3.6834
_cell_length_c 29.9043
_cell_angle_alpha 90.00
_cell_angle_beta 90.00
_cell_angle_gamma 120.00
loop_
_atom_site_label
_atom_site_fract_x
_atom_site_fract_y
_atom_site_fract_z
Sm1 0.0000 0.0000 0.0000
Lu1 0.0000 0.0000 0.5000
Br1 0.0000 0.0000 0.4057

5.
# NbBiSN2, relaxed, DFT PBE-GGA
# Energy above the most stable polymorph in this dataset (meV/atom): 0
# Crystal system: tetragonal
data_NbBiSN2
_chemical_formula_sum 'Nb1 Bi1 S1 N2'
_symmetry_space_group_name_H-M 'P 4/m m m'
_symmetry_Int_Tables_number 123
_symmetry_space_group_name_Hall '-P 4 2'
_cell_length_a 4.107
_cell_length_b 4.107
_cell_length_c 5.020
_cell_angle_alpha 90.00
_cell_angle_beta 90.00
_cell_angle_gamma 90.00
loop_
_atom_site_label
_atom_site_fract_x
_atom_site_fract_y
_atom_site_fract_z
Nb1 0.000 0.000 0.000
Bi1 0.500 0.500 0.500
S1 0.000 0.000 0.500
N1 0.000 0.500 0.000

6.
# Eu2ThNi, relaxed, DFT PBE-GGA
# Crystal system: trigonal
data_Eu2ThNi
_chemical_formula_sum 'Eu6 Th3 Ni3'
_symmetry_space_group_name_H-M 'R -3 m'
_symmetry_Int_Tables_number 166
_symmetry_space_group_name_Hall '-R 3 2"'
_cell_length_a 3.6022
_cell_length_b 3.6022
_cell_length_c 32.4104
_cell_angle_alpha 90.00
_cell_angle_beta 90.00
_cell_angle_gamma 120.00
loop_
_atom_site_label
_atom_site_fract_x
_atom_site_fract_y
_atom_site_fract_z
Eu1 0.0000 0.0000 0.1092
Th1 0.0000 0.0000 0.0000
Ni1 0.0000 0.0000 0.5000

7.
# LaMg6Ag4, relaxed, DFT PBE-GGA
# Crystal system: hexagonal
data_LaMg6Ag4
_chemical_formula_sum 'La1 Mg6 Ag4'
_symmetry_space_group_name_H-M 'P -6 m 2'
_symmetry_Int_Tables_number 187
_symmetry_space_group_name_Hall 'P -6 2'
_cell_length_a 7.9655
_cell_length_b 7.9655
_cell_length_c 4.4097
_cell_angle_alpha 90.00
_cell_angle_beta 90.00
_cell_angle_gamma 120.00
loop_
_atom_site_label
_atom_site_fract_x
_atom_site_fract_y
_atom_site_fract_z
La1 0.0000 0.0000 0.0000
Mg1 0.2019 0.4038 0.5000
Mg2 0.5335 0.0670 0.0000
Ag1 0.3333 0.6667 0.0000
Ag2 0.4020 0.2010 0.5000

8.
# Cr4FeIr, relaxed, DFT PBE-GGA
# Crystal system: cubic
data_Cr4FeIr
_chemical_formula_sum 'Cr16 Fe4 Ir4'
_symmetry_space_group_name_H-M 'F -4 3 m'
_symmetry_Int_Tables_number 216
_symmetry_space_group_name_Hall 'F -4 2 3'
_cell_length_a 6.623
_cell_length_b 6.623
_cell_length_c 6.623
_cell_angle_alpha 90.00
_cell_angle_beta 90.00
_cell_angle_gamma 90.00
loop_
_atom_site_label
_atom_site_fract_x
_atom_site_fract_y
_atom_site_fract_z
Cr1 0.123 0.123 0.123
Fe1 0.250 0.250 0.750
Ir1 0.000 0.000 0.500

Number 1: final energy -109.4 eV per formula unit. Number 2: final energy -38.1 eV per formula unit. Number 3: final energy -14.4 eV per formula unit. Number 4: final energy -16.6 eV per formula unit. Number 5: final energy -33.9 eV per formula unit. Number 6: final energy -32.7 eV per formula unit. Number 7: final energy -28.2 eV per formula unit. Number 8: final energy -55.5 eV per formula unit.